## Cd5I12Cl3 (PBE)

Data for crystalline Cd5I12Cl3 at its relaxed geometry.

## Properties
The calculation puts the formation energy from raw total energies at -3.82 eV per formula unit.

Structure (CIF):
```
data_Cd5I12Cl3
_chemical_formula_sum 'Cd40 I96 Cl24'
_cell_length_a 18.497
_cell_length_b 18.497
_cell_length_c 18.497
_cell_angle_alpha 90.00
_cell_angle_beta 90.00
_cell_angle_gamma 90.00
_space_group_name_H-M_alt 'I a -3 d'
_space_group_IT_number 230
_space_group_name_Hall '-I 4bd 2c 3'
loop_
_atom_site_label
_atom_site_fract_x
_atom_site_fract_y
_atom_site_fract_z
Cd1 0.000 0.000 0.000
Cd2 0.000 0.250 0.375
I1 0.035 0.068 0.646
Cl1 0.000 0.250 0.125
```

## BeAlCuPd (PBE)

Data for crystalline BeAlCuPd at its relaxed geometry.

## Properties
The energy of formation from the pure elements is -434 meV/atom.

Structure (CIF):
```
data_BeAlCuPd
_chemical_formula_sum 'Be1 Al1 Cu1 Pd1'
_cell_length_a 2.901
_cell_length_b 2.901
_cell_length_c 5.866
_cell_angle_alpha 90.00
_cell_angle_beta 90.00
_cell_angle_gamma 90.00
_space_group_name_H-M_alt 'P 4 m m'
_space_group_IT_number 99
_space_group_name_Hall 'P 4 -2'
loop_
_atom_site_label
_atom_site_fract_x
_atom_site_fract_y
_atom_site_fract_z
Be1 0.000 0.000 0.000
Al1 0.000 0.000 0.522
Cu1 0.500 0.500 0.787
Pd1 0.500 0.500 0.242
```

## Pr6HgSe2I3 (PBE)

Data for crystalline Pr6HgSe2I3 at its relaxed geometry.

## Properties
The calculation puts the formation energy from raw total energies at -13.80 eV per formula unit.

Structure (CIF):
```
data_Pr6HgSe2I3
_chemical_formula_sum 'Pr12 Hg2 Se4 I6'
_cell_length_a 7.428
_cell_length_b 12.876
_cell_length_c 8.406
_cell_angle_alpha 90.00
_cell_angle_beta 107.10
_cell_angle_gamma 90.00
_space_group_name_H-M_alt 'C 1 2/m 1'
_space_group_IT_number 12
_space_group_name_Hall '-C 2y'
loop_
_atom_site_label
_atom_site_fract_x
_atom_site_fract_y
_atom_site_fract_z
Pr1 0.220 0.000 0.203
Pr2 0.243 0.327 0.207
Hg1 0.000 0.500 0.000
Se1 0.000 0.168 0.000
I1 0.000 0.000 0.500
I2 0.000 0.339 0.500
```

## SmTmLu2 (PBE)

Data for crystalline SmTmLu2 at its relaxed geometry.

## Properties
The energy of formation from the pure elements is 32 meV/atom.

Structure (CIF):
```
data_SmTmLu2
_chemical_formula_sum 'Sm1 Tm1 Lu2'
_cell_length_a 4.972
_cell_length_b 4.972
_cell_length_c 4.941
_cell_angle_alpha 90.00
_cell_angle_beta 90.00
_cell_angle_gamma 90.00
_space_group_name_H-M_alt 'P 4/m m m'
_space_group_IT_number 123
_space_group_name_Hall '-P 4 2'
loop_
_atom_site_label
_atom_site_fract_x
_atom_site_fract_y
_atom_site_fract_z
Sm1 0.000 0.000 0.000
Tm1 0.500 0.500 0.000
Lu1 0.000 0.500 0.500
```

## KTe2Ru (PBE)

Data for crystalline KTe2Ru at its relaxed geometry.

## Properties
The calculation puts the formation energy from raw total energies at -0.40 eV per formula unit.

Structure (CIF):
```
data_KTe2Ru
_chemical_formula_sum 'K2 Te4 Ru2'
_cell_length_a 3.357
_cell_length_b 6.296
_cell_length_c 11.185
_cell_angle_alpha 90.00
_cell_angle_beta 90.00
_cell_angle_gamma 90.00
_space_group_name_H-M_alt 'I m m m'
_space_group_IT_number 71
_space_group_name_Hall '-I 2 2'
loop_
_atom_site_label
_atom_site_fract_x
_atom_site_fract_y
_atom_site_fract_z
K1 0.000 0.000 0.000
Te1 0.000 0.500 0.179
Ru1 0.000 0.000 0.500
```

## Ca3Tl2In2 (PBE)

Data for crystalline Ca3Tl2In2 at its relaxed geometry.

## Properties
The energy of formation from the pure elements is -352 meV/atom.

Structure (CIF):
```
data_Ca3Tl2In2
_chemical_formula_sum 'Ca3 Tl2 In2'
_cell_length_a 5.282
_cell_length_b 5.296
_cell_length_c 8.936
_cell_angle_alpha 72.97
_cell_angle_beta 89.90
_cell_angle_gamma 60.26
_space_group_name_H-M_alt 'P -1'
_space_group_IT_number 2
_space_group_name_Hall '-P 1'
loop_
_atom_site_label
_atom_site_fract_x
_atom_site_fract_y
_atom_site_fract_z
Ca1 0.000 0.000 0.000
Ca2 0.427 0.146 0.282
Tl1 0.293 0.415 0.877
In1 0.152 0.697 0.454
```

## Y2TcIr (PBE)

Data for crystalline Y2TcIr at its relaxed geometry.

## Properties
The energy of formation from the pure elements is -63 meV/atom.

Structure (CIF):
```
data_Y2TcIr
_chemical_formula_sum 'Y4 Tc2 Ir2'
_cell_length_a 4.058
_cell_length_b 4.058
_cell_length_c 9.978
_cell_angle_alpha 90.00
_cell_angle_beta 90.00
_cell_angle_gamma 90.00
_space_group_name_H-M_alt 'I -4 m 2'
_space_group_IT_number 119
_space_group_name_Hall 'I -4 -2'
loop_
_atom_site_label
_atom_site_fract_x
_atom_site_fract_y
_atom_site_fract_z
Y1 0.000 0.000 0.000
Y2 0.000 0.500 0.250
Tc1 0.000 0.000 0.500
Ir1 0.000 0.500 0.750
```

## Ti7H2Pb3 (PBE)

Data for crystalline Ti7H2Pb3 at its relaxed geometry.

Structure (CIF):
```
data_Ti7H2Pb3
_chemical_formula_sum 'Ti14 H4 Pb6'
_cell_length_a 4.218
_cell_length_b 22.604
_cell_length_c 4.010
_cell_angle_alpha 90.00
_cell_angle_beta 90.00
_cell_angle_gamma 90.00
_space_group_name_H-M_alt 'C m m m'
_space_group_IT_number 65
_space_group_name_Hall '-C 2 2'
loop_
_atom_site_label
_atom_site_fract_x
_atom_site_fract_y
_atom_site_fract_z
Ti1 0.000 0.000 0.000
Ti2 0.000 0.098 0.500
Ti3 0.000 0.204 0.000
Ti4 0.000 0.404 0.000
H1 0.000 0.089 0.000
Pb1 0.000 0.310 0.500
Pb2 0.000 0.500 0.500
```

## MoAsBr2 (PBE)

Data for crystalline MoAsBr2 at its relaxed geometry.

## Properties
The calculation puts the formation energy from raw total energies at 0.19 eV per formula unit.

Structure (CIF):
```
data_MoAsBr2
_chemical_formula_sum 'Mo2 As2 Br4'
_cell_length_a 16.267
_cell_length_b 3.186
_cell_length_c 4.192
_cell_angle_alpha 90.00
_cell_angle_beta 104.73
_cell_angle_gamma 90.00
_space_group_name_H-M_alt 'C 1 2/m 1'
_space_group_IT_number 12
_space_group_name_Hall '-C 2y'
loop_
_atom_site_label
_atom_site_fract_x
_atom_site_fract_y
_atom_site_fract_z
Mo1 0.000 0.000 0.000
As1 0.000 0.500 0.500
Br1 0.142 0.500 0.144
```

## Ca2ScBr (PBE)

Data for crystalline Ca2ScBr at its relaxed geometry.

## Properties
The calculation puts the formation energy from raw total energies at -2.07 eV per formula unit.

Structure (CIF):
```
data_Ca2ScBr
_chemical_formula_sum 'Ca2 Sc1 Br1'
_cell_length_a 3.766
_cell_length_b 3.637
_cell_length_c 9.724
_cell_angle_alpha 90.00
_cell_angle_beta 90.61
_cell_angle_gamma 90.00
_space_group_name_H-M_alt 'P 1 2/m 1'
_space_group_IT_number 10
_space_group_name_Hall '-P 2y'
loop_
_atom_site_label
_atom_site_fract_x
_atom_site_fract_y
_atom_site_fract_z
Ca1 0.007 0.000 0.253
Sc1 0.500 0.500 0.000
Br1 0.000 0.500 0.500
```

## CeDy3Bi4 (PBE)

Data for crystalline CeDy3Bi4 at its relaxed geometry.

## Properties
The energy of formation from the pure elements is -836 meV/atom.

Structure (CIF):
```
data_CeDy3Bi4
_chemical_formula_sum 'Ce1 Dy3 Bi4'
_cell_length_a 6.377
_cell_length_b 6.377
_cell_length_c 6.377
_cell_angle_alpha 90.00
_cell_angle_beta 90.00
_cell_angle_gamma 90.00
_space_group_name_H-M_alt 'P m -3 m'
_space_group_IT_number 221
_space_group_name_Hall '-P 4 2 3'
loop_
_atom_site_label
_atom_site_fract_x
_atom_site_fract_y
_atom_site_fract_z
Ce1 0.000 0.000 0.000
Dy1 0.000 0.500 0.500
Bi1 0.000 0.000 0.500
Bi2 0.500 0.500 0.500
```

## Tm2ScTl (PBE)

Data for crystalline Tm2ScTl at its relaxed geometry.

## Properties
The energy of formation from the pure elements is -28 meV/atom.

Structure (CIF):
```
data_Tm2ScTl
_chemical_formula_sum 'Tm8 Sc4 Tl4'
_cell_length_a 7.510
_cell_length_b 7.510
_cell_length_c 7.510
_cell_angle_alpha 90.00
_cell_angle_beta 90.00
_cell_angle_gamma 90.00
_space_group_name_H-M_alt 'F m -3 m'
_space_group_IT_number 225
_space_group_name_Hall '-F 4 2 3'
loop_
_atom_site_label
_atom_site_fract_x
_atom_site_fract_y
_atom_site_fract_z
Tm1 0.250 0.250 0.250
Sc1 0.000 0.000 0.000
Tl1 0.000 0.000 0.500
```

For each record above, in turn, the calculated DFT total energy values are -32.5; -18.5; -54.4; -18.1; -17.1; -18.7; -32.4; -75.1; -18.6; -14.1; -41.9; -17.8 eV per formula unit.
For each record above, in turn, the calculated size of the total moment values are 0.254; 0.000; 0.000; 0.000; 0.096; 0.000; 0.000; 0.000; 0.000; 0.123; 0.105; 0.312 μB/atom.